Record 1
Material: TbSnSb
Method: DFT, GGA-PBE
State: relaxed

Values from the calculation:
uncorrected formation energy = -1.02 eV/f.u.
energy = -4.593 eV per atom

Structure (CIF):
```
data_TbSnSb
_chemical_formula_sum 'Tb1 Sn1 Sb1'
_cell_length_a 5.2209
_cell_length_b 5.2209
_cell_length_c 3.5426
_cell_angle_alpha 90.00
_cell_angle_beta 90.00
_cell_angle_gamma 120.00
_space_group_name_H-M_alt 'P 3 m 1'
_space_group_IT_number 156
loop_
_space_group_symop_operation_xyz
'x,y,z'
'-y,x-y,z'
'-x+y,-x,z'
'-y,-x,z'
'-x+y,y,z'
'x,x-y,z'
loop_
_atom_site_label
_atom_site_type_symbol
_atom_site_fract_x
_atom_site_fract_y
_atom_site_fract_z
_atom_site_occupancy
Tb1 Tb 0.0000 0.0000 0.0000 1
Sn1 Sn 0.6667 0.3333 0.5043 1
Sb1 Sb 0.3333 0.6667 0.4967 1
```

***

Record 2
Material: ZnCrMoOs
Method: DFT, GGA-PBE
State: relaxed

Values from the calculation:
energy = -8.095 eV per atom
formation energy = 0.58 eV/f.u.

Structure (CIF):
```
data_ZnCrMoOs
_chemical_formula_sum 'Zn4 Cr4 Mo4 Os4'
_cell_length_a 6.1150
_cell_length_b 6.1150
_cell_length_c 6.1150
_cell_angle_alpha 90.00
_cell_angle_beta 90.00
_cell_angle_gamma 90.00
_space_group_name_H-M_alt 'F -4 3 m'
_space_group_IT_number 216
_space_group_name_Hall 'F -4 2 3'
loop_
_atom_site_label
_atom_site_type_symbol
_atom_site_fract_x
_atom_site_fract_y
_atom_site_fract_z
_atom_site_occupancy
Zn1 Zn 0.0000 0.0000 0.0000 1
Cr1 Cr 0.2500 0.2500 0.7500 1
Mo1 Mo 0.0000 0.0000 0.5000 1
Os1 Os 0.2500 0.2500 0.2500 1
```

***

Record 3
Material: Rb3Zn4As4
Method: DFT, GGA-PBE
State: relaxed

Values from the calculation:
energy = -2.746 eV per atom
formation energy = -3.61 eV/f.u.

Structure (CIF):
```
data_Rb3Zn4As4
_chemical_formula_sum 'Rb6 Zn8 As8'
_cell_length_a 8.2664
_cell_length_b 8.2664
_cell_length_c 8.2664
_cell_angle_alpha 90.00
_cell_angle_beta 90.00
_cell_angle_gamma 90.00
_space_group_name_H-M_alt 'I -4 3 m'
_space_group_IT_number 217
_space_group_name_Hall 'I -4 2 3'
loop_
_atom_site_label
_atom_site_type_symbol
_atom_site_fract_x
_atom_site_fract_y
_atom_site_fract_z
_atom_site_occupancy
Rb1 Rb 0.0000 0.0000 0.5000 1
Zn1 Zn 0.1480 0.1480 0.8520 1
As1 As 0.1679 0.1679 0.1679 1
```

***

Record 4
Material: NaErTe4
Method: DFT, GGA-PBE
State: relaxed

Values from the calculation:
uncorrected formation energy = -4.99 eV/f.u.
energy = -3.906 eV per atom

Structure (CIF):
```
data_NaErTe4
_chemical_formula_sum 'Na2 Er2 Te8'
_cell_length_a 6.7838
_cell_length_b 6.7838
_cell_length_c 8.1737
_cell_angle_alpha 90.00
_cell_angle_beta 90.00
_cell_angle_gamma 90.00
_space_group_name_H-M_alt 'P 4/n b m'
_space_group_IT_number 125
loop_
_space_group_symop_operation_xyz
'x,y,z'
'-x,-y,-z'
'-y+1/2,x,z'
'y+1/2,-x,-z'
'-x+1/2,-y+1/2,z'
'x+1/2,y+1/2,-z'
'y,-x+1/2,z'
'-y,x+1/2,-z'
'x,-y+1/2,-z'
'-x,y+1/2,z'
'-y+1/2,-x+1/2,-z'
'y+1/2,x+1/2,z'
'-x+1/2,y,-z'
'x+1/2,-y,z'
'y,x,-z'
'-y,-x,z'
loop_
_atom_site_label
_atom_site_type_symbol
_atom_site_fract_x
_atom_site_fract_y
_atom_site_fract_z
_atom_site_occupancy
Na1 Na 0.2500 0.2500 0.0000 1
Er1 Er 0.2500 0.2500 0.5000 1
Te1 Te 0.1022 0.6022 0.2738 1
```

***

Record 5
Material: La8CoNi3Cl4
Method: DFT, GGA-PBE
State: relaxed

Values from the calculation:
uncorrected formation energy = -15.50 eV/f.u.
energy = -5.422 eV per atom

Structure (CIF):
```
data_La8CoNi3Cl4
_chemical_formula_sum 'La16 Co2 Ni6 Cl8'
_cell_length_a 14.3643
_cell_length_b 8.1356
_cell_length_c 8.9358
_cell_angle_alpha 90.00
_cell_angle_beta 121.94
_cell_angle_gamma 90.00
_space_group_name_H-M_alt 'C 1 2/m 1'
_space_group_IT_number 12
loop_
_space_group_symop_operation_xyz
'x,y,z'
'-x,-y,-z'
'-x,y,-z'
'x,-y,z'
'x+1/2,y+1/2,z'
'-x+1/2,-y+1/2,-z'
'-x+1/2,y+1/2,-z'
'x+1/2,-y+1/2,z'
loop_
_atom_site_label
_atom_site_type_symbol
_atom_site_fract_x
_atom_site_fract_y
_atom_site_fract_z
_atom_site_occupancy
La1 La 0.0131 0.2446 0.2980 1
La2 La 0.2338 0.0000 0.7034 1
La3 La 0.2348 0.5000 0.7021 1
Co1 Co 0.0000 0.0000 0.5000 1
Ni1 Ni 0.0000 0.5000 0.5000 1
Ni2 Ni 0.2500 0.2500 0.5000 1
Cl1 Cl 0.0000 0.0000 0.0000 1
Cl2 Cl 0.0000 0.5000 0.0000 1
Cl3 Cl 0.2500 0.2500 0.0000 1
```

***

Record 6
Material: Pu2Sn8Rh
Method: DFT, GGA-PBE
State: relaxed

Values from the calculation:
energy = -6.524 eV per atom
formation energy = -3.73 eV/f.u.

Structure (CIF):
```
data_Pu2Sn8Rh
_chemical_formula_sum 'Pu2 Sn8 Rh1'
_cell_length_a 4.6737
_cell_length_b 4.6737
_cell_length_c 12.3545
_cell_angle_alpha 90.00
_cell_angle_beta 90.00
_cell_angle_gamma 90.00
_space_group_name_H-M_alt 'P 4/m m m'
_space_group_IT_number 123
_space_group_name_Hall '-P 4 2'
loop_
_atom_site_label
_atom_site_type_symbol
_atom_site_fract_x
_atom_site_fract_y
_atom_site_fract_z
_atom_site_occupancy
Pu1 Pu 0.0000 0.0000 0.1899 1
Sn1 Sn 0.0000 0.5000 0.0000 1
Sn2 Sn 0.0000 0.5000 0.3759 1
Sn3 Sn 0.5000 0.5000 0.1889 1
Rh1 Rh 0.0000 0.0000 0.5000 1
```

***

Record 7
Material: Zr2CoP
Method: DFT, GGA-PBE
State: relaxed

Values from the calculation:
energy = -7.323 eV per atom
formation energy = 0.32 eV/f.u.

Structure (CIF):
```
data_Zr2CoP
_chemical_formula_sum 'Zr8 Co4 P4'
_cell_length_a 6.3642
_cell_length_b 6.3642
_cell_length_c 6.3642
_cell_angle_alpha 90.00
_cell_angle_beta 90.00
_cell_angle_gamma 90.00
_space_group_name_H-M_alt 'F -4 3 m'
_space_group_IT_number 216
_space_group_name_Hall 'F -4 2 3'
loop_
_atom_site_label
_atom_site_type_symbol
_atom_site_fract_x
_atom_site_fract_y
_atom_site_fract_z
_atom_site_occupancy
Zr1 Zr 0.0000 0.0000 0.0000 1
Zr2 Zr 0.2500 0.2500 0.2500 1
Co1 Co 0.0000 0.0000 0.5000 1
P1 P 0.2500 0.2500 0.7500 1
```

***

Record 8
Material: Ba2NaSr5Ca
Method: DFT, GGA-PBE
State: relaxed

Values from the calculation:
energy = -1.661 eV per atom
formation energy = 0.63 eV/f.u.

Structure (CIF):
```
data_Ba2NaSr5Ca
_chemical_formula_sum 'Ba8 Na4 Sr20 Ca4'
_cell_length_a 6.7009
_cell_length_b 24.1383
_cell_length_c 12.1587
_cell_angle_alpha 90.00
_cell_angle_beta 90.00
_cell_angle_gamma 90.00
_space_group_name_H-M_alt 'C m c 21'
_space_group_IT_number 36
loop_
_space_group_symop_operation_xyz
'x,y,z'
'-x,-y,z+1/2'
'-x,y,z'
'x,-y,z+1/2'
'x+1/2,y+1/2,z'
'-x+1/2,-y+1/2,z+1/2'
'-x+1/2,y+1/2,z'
'x+1/2,-y+1/2,z+1/2'
loop_
_atom_site_label
_atom_site_type_symbol
_atom_site_fract_x
_atom_site_fract_y
_atom_site_fract_z
_atom_site_occupancy
Ba1 Ba 0.0000 0.1137 0.0000 1
Ba2 Ba 0.0000 0.1137 0.4345 1
Na1 Na 0.0000 0.4065 0.2177 1
Sr1 Sr 0.0000 0.0161 0.7173 1
Sr2 Sr 0.0000 0.2861 0.0342 1
Sr3 Sr 0.0000 0.2860 0.4010 1
Sr4 Sr 0.0000 0.3724 0.7174 1
Sr5 Sr 0.0000 0.5001 0.4676 1
Ca1 Ca 0.0000 0.2036 0.7175 1
```

***

Record 9
Material: Tl3Hg2Pb
Method: DFT, GGA-PBE
State: relaxed

Values from the calculation:
energy = -1.892 eV per atom
formation energy = 0.06 eV/f.u.

Structure (CIF):
```
data_Tl3Hg2Pb
_chemical_formula_sum 'Tl6 Hg4 Pb2'
_cell_length_a 6.1332
_cell_length_b 8.3541
_cell_length_c 8.5593
_cell_angle_alpha 105.49
_cell_angle_beta 109.49
_cell_angle_gamma 109.23
_space_group_name_H-M_alt 'P -1'
_space_group_IT_number 2
loop_
_space_group_symop_operation_xyz
'x,y,z'
'-x,-y,-z'
loop_
_atom_site_label
_atom_site_type_symbol
_atom_site_fract_x
_atom_site_fract_y
_atom_site_fract_z
_atom_site_occupancy
Tl1 Tl 0.2384 0.2869 0.3981 1
Tl2 Tl 0.2485 0.9380 0.0746 1
Tl3 Tl 0.2620 0.5981 0.7545 1
Hg1 Hg 0.2439 0.4825 0.1038 1
Hg2 Hg 0.2851 0.8046 0.4506 1
Pb1 Pb 0.2203 0.1463 0.7487 1
```